The following is a GGA+U calculation of a geometry-optimized CeFeS2O8 structure, from the Alexandria database.

Summary:
VASP energy: -6.6077 eV/atom
magnetic moment: 5.05 Bohr magnetons per cell
N(E_F): 0.98 states/eV/atom

abc: 5.2246 5.2246 7.1739
angles: 90.00 90.00 120.00
Last column: nearest neighbours and their distance in Å.
Positions (direct):
Ce 0.0000 0.0000 0.0000  6 O 2.63
Fe 0.0000 0.0000 0.5000  6 O 2.19
S 0.3333 0.6667 0.2261  4 O 1.49-1.50
S 0.6667 0.3333 0.7739  4 O 1.49-1.50
O 0.1771 0.3542 0.2910  1 S 1.49
O 0.1771 0.8229 0.2910  1 S 1.49
O 0.3333 0.6667 0.0176  1 S 1.50
O 0.3542 0.1771 0.7090  1 S 1.49
O 0.6458 0.8229 0.2910  1 S 1.49
O 0.6667 0.3333 0.9824  1 S 1.50
O 0.8229 0.1771 0.7090  1 S 1.49
O 0.8229 0.6458 0.7090  1 S 1.49